(1)
MgSi2Sn2: optimized geometry, PBE-GGA.

Space group ... P2/m

a b c (Å): 3.566 5.625 6.057
angles (deg): 90.00 107.81 90.00
Fractional positions:
Si 0.318 0.000 0.631
Mg 0.000 0.000 0.000
Sn 0.375 0.500 0.732
Sn 0.625 0.500 0.268
Si 0.682 0.000 0.369

=====

(2)
MgSi2Sn2: optimized geometry, PBE-GGA.

Space group ... P4/mbm

a b c (Å): 7.016 7.016 4.482
angles (deg): 90.00 90.00 90.00
Fractional positions:
Si 0.120 0.380 0.000
Sn 0.812 0.312 0.500
Sn 0.188 0.688 0.500
Mg 0.500 0.500 0.000
Si 0.880 0.620 0.000
Sn 0.688 0.812 0.500
Mg 0.000 0.000 0.000
Sn 0.312 0.188 0.500
Si 0.620 0.120 0.000
Si 0.380 0.880 0.000

=====

(3)
MgSi2Sn2: optimized geometry, PBE-GGA.

Space group ... Pm

a b c (Å): 3.646 4.002 7.862
angles (deg): 90.00 102.78 90.00
Fractional positions:
Si 0.719 0.000 0.398
Si 0.315 0.000 0.599
Mg 0.866 0.500 0.706
Sn 0.486 0.000 0.960
Sn 0.101 0.500 0.214

=====

(4)
MgSi2Sn2: optimized geometry, PBE-GGA.

Space group ... P1

a b c (Å): 5.114 6.205 7.668
angles (deg): 88.92 78.01 86.84
Fractional positions:
Si 0.817 0.003 0.491
Sn 0.210 0.767 0.994
Mg 0.067 0.297 0.990
Sn 0.536 0.097 0.121
Si 0.021 0.993 0.745
Sn 0.779 0.635 0.304
Si 0.387 0.183 0.595
Sn 0.627 0.440 0.802
Si 0.119 0.273 0.369
Mg 0.218 0.631 0.557

=====

Which is the most stable structure? (4) is the most stable.

=====

(1)
MgSiSn3: optimized geometry, PBE-GGA.

Space group ... Pm-3m

a b c (Å): 5.242 5.242 5.242
angles (deg): 90.00 90.00 90.00
Fractional positions:
Sn 0.000 0.500 0.000
Si 0.000 0.000 0.000
Mg 0.500 0.500 0.500
Sn 0.500 0.000 0.000
Sn 0.000 0.000 0.500

=====

(2)
MgSiSn3: optimized geometry, PBE-GGA.

Space group ... Pm-3m

a b c (Å): 5.326 5.326 5.326
angles (deg): 90.00 90.00 90.00
Fractional positions:
Sn 0.000 0.500 0.000
Si 0.500 0.500 0.500
Sn 0.000 0.000 0.500
Mg 0.000 0.000 0.000
Sn 0.500 0.000 0.000

=====

Which is the most stable structure? (1) is the most stable.

=====

(1)
SrMg14Si: optimized geometry, PBE-GGA.

Space group ... P-6m2

a b c (Å): 6.536 6.536 10.346
angles (deg): 90.00 90.00 120.00
Fractional positions:
Mg 0.494 0.987 0.500
Mg 0.013 0.506 0.500
Mg 0.667 0.333 0.742
Mg 0.671 0.836 0.772
Mg 0.164 0.329 0.772
Mg 0.506 0.013 0.000
Sr 0.000 0.000 0.500
Mg 0.164 0.836 0.772
Mg 0.164 0.329 0.228
Mg 0.494 0.506 0.500
Mg 0.164 0.836 0.228
Mg 0.671 0.836 0.228
Si 0.000 0.000 0.000
Mg 0.506 0.494 0.000
Mg 0.987 0.494 0.000
Mg 0.667 0.333 0.258

=====

(2)
SrMg14Si: optimized geometry, PBE-GGA.

Space group ... Amm2

a b c (Å): 6.656 6.656 10.352
angles (deg): 90.00 90.00 123.71
Fractional positions:
Mg 0.163 0.837 0.764
Mg 0.826 0.174 0.000
Mg 0.822 0.697 0.500
Si 0.857 0.143 0.500
Mg 0.333 0.667 0.000
Mg 0.169 0.324 0.756
Mg 0.163 0.837 0.236
Mg 0.676 0.831 0.756
Mg 0.338 0.176 0.000
Mg 0.683 0.317 0.718
Mg 0.676 0.831 0.244
Mg 0.683 0.317 0.282
Mg 0.303 0.178 0.500
Mg 0.824 0.662 0.000
Mg 0.169 0.324 0.244
Sr 0.315 0.685 0.500

=====

Which is the most stable structure? (2) is the most stable.

=====

(1)
Mg2TaSi2: optimized geometry, PBE-GGA.

Space group ... I4/mmm

a b c (Å): 3.299 3.299 9.176
angles (deg): 79.65 79.65 90.00
Fractional positions:
Ta 0.000 0.000 0.000
Si 0.750 0.250 0.500
Si 0.250 0.750 0.500
Mg 0.387 0.387 0.226
Mg 0.613 0.613 0.774

=====

(2)
Mg2TaSi2: optimized geometry, PBE-GGA.

Space group ... P4/mbm

a b c (Å): 6.743 6.743 3.912
angles (deg): 90.00 90.00 90.00
Fractional positions:
Mg 0.176 0.676 0.500
Mg 0.676 0.824 0.500
Si 0.629 0.129 0.000
Si 0.871 0.629 0.000
Mg 0.324 0.176 0.500
Si 0.371 0.871 0.000
Si 0.129 0.371 0.000
Mg 0.824 0.324 0.500
Ta 0.000 0.000 0.000
Ta 0.500 0.500 0.000

=====

Which is the most stable structure? (2) is the most stable.

=====

(1)
Mg3TaSi: optimized geometry, PBE-GGA.

Space group ... Pm-3m

a b c (Å): 5.345 5.345 5.345
angles (deg): 90.00 90.00 90.00
Fractional positions:
Ta 0.000 0.000 0.000
Mg 0.500 0.000 0.000
Mg 0.000 0.000 0.500
Si 0.500 0.500 0.500
Mg 0.000 0.500 0.000

=====

(2)
Mg3TaSi: optimized geometry, PBE-GGA.

Space group ... Pm-3m

a b c (Å): 4.878 4.878 4.878
angles (deg): 90.00 90.00 90.00
Fractional positions:
Mg 0.500 0.000 0.000
Mg 0.000 0.000 0.500
Si 0.000 0.000 0.000
Mg 0.000 0.500 0.000
Ta 0.500 0.500 0.500

=====

Which is the most stable structure? (2) is the most stable.

=====

(1)
Mg3SiTc: optimized geometry, PBE-GGA.

Space group ... Pm-3m

a b c (Å): 4.910 4.910 4.910
angles (deg): 90.00 90.00 90.00
Fractional positions:
Si 0.000 0.000 0.000
Mg 0.000 0.000 0.500
Tc 0.500 0.500 0.500
Mg 0.000 0.500 0.000
Mg 0.500 0.000 0.000

=====

(2)
Mg3SiTc: optimized geometry, PBE-GGA.

Space group ... Pm-3m

a b c (Å): 4.964 4.964 4.964
angles (deg): 90.00 90.00 90.00
Fractional positions:
Mg 0.000 0.500 0.000
Mg 0.500 0.000 0.000
Tc 0.000 0.000 0.000
Mg 0.000 0.000 0.500
Si 0.500 0.500 0.500

=====

Which is the most stable structure? (1) is the most stable.

=====

(1)
MgSi2Te: optimized geometry, PBE-GGA.

Space group ... C2/m

a b c (Å): 5.417 5.417 5.054
angles (deg): 67.80 67.80 40.16
Fractional positions:
Mg 0.250 0.250 0.250
Si 0.487 0.487 0.419
Te 0.750 0.750 0.750
Si 0.013 0.013 0.081

=====

(2)
MgSi2Te: optimized geometry, PBE-GGA.

Space group ... Pm

a b c (Å): 3.957 4.488 7.227
angles (deg): 50.86 90.00 90.00
Fractional positions:
Mg 0.500 0.821 0.648
Si 0.500 0.249 0.164
Si 0.000 0.109 0.057
Te 0.000 0.321 0.631

=====

(3)
MgSi2Te: optimized geometry, PBE-GGA.

Space group ... P4/mmm

a b c (Å): 3.723 3.723 5.929
angles (deg): 90.00 90.00 90.00
Fractional positions:
Si 0.000 0.000 0.543
Si 0.000 0.000 0.957
Te 0.500 0.500 0.250
Mg 0.500 0.500 0.750

=====

Which is the most stable structure? (2) is the most stable.

=====

(1)
MgSi2Te: optimized geometry, PBE-GGA.

Space group ... Fmmm

a b c (Å): 3.960 5.986 3.961
angles (deg): 71.23 88.42 108.76
Fractional positions:
Te 0.000 0.500 0.500
Si 0.500 0.000 0.500
Si 0.000 0.000 0.000
Mg 0.500 0.500 0.000

=====

(2)
MgSi2Te: optimized geometry, PBE-GGA.

Space group ... R-3m

a b c (Å): 7.611 7.611 7.611
angles (deg): 28.54 28.54 28.54
Fractional positions:
Si 0.997 0.997 0.997
Si 0.503 0.503 0.503
Te 0.250 0.250 0.250
Mg 0.750 0.750 0.750

=====

(3)
MgSi2Te: optimized geometry, PBE-GGA.

Space group ... I-42d

a b c (Å): 6.222 6.222 7.432
angles (deg): 65.26 65.26 90.00
Fractional positions:
Si 0.875 0.871 0.750
Mg 0.250 0.750 0.500
Mg 0.500 0.500 0.000
Te 0.750 0.250 0.500
Te 0.000 0.000 0.000
Si 0.375 0.379 0.750
Si 0.621 0.125 0.250
Si 0.129 0.625 0.250

=====

(4)
MgSi2Te: optimized geometry, PBE-GGA.

Space group ... I-4m2

a b c (Å): 5.099 5.099 5.099
angles (deg): 127.07 127.07 78.13
Fractional positions:
Te 0.500 0.500 0.000
Si 0.250 0.750 0.500
Si 0.000 0.000 0.000
Mg 0.750 0.250 0.500

=====

Which is the most stable structure? (1) is the most stable.

=====

(1)
MgSi2Te: optimized geometry, PBE-GGA.

Space group ... P4/mmm

a b c (Å): 4.785 4.785 3.576
angles (deg): 90.00 90.00 90.00
Fractional positions:
Si 0.000 0.000 0.000
Mg 0.000 0.500 0.500
Te 0.500 0.000 0.500
Si 0.500 0.500 0.000

=====

(2)
MgSi2Te: optimized geometry, PBE-GGA.

Space group ... Fm-3m

a b c (Å): 4.885 4.885 4.885
angles (deg): 60.00 60.00 60.00
Fractional positions:
Si 0.250 0.250 0.250
Te 0.500 0.500 0.500
Si 0.750 0.750 0.750
Mg 0.000 0.000 0.000

=====

Which is the most stable structure? (1) is the most stable.

=====

(1)
Mg2SiTe: optimized geometry, PBE-GGA.

Space group ... C2/m

a b c (Å): 5.026 6.690 3.671
angles (deg): 66.86 84.05 121.47
Fractional positions:
Si 0.500 0.500 0.000
Mg 0.000 0.000 0.000
Mg 0.000 0.500 0.500
Te 0.500 0.000 0.500

=====

(2)
Mg2SiTe: optimized geometry, PBE-GGA.

Space group ... P4mm

a b c (Å): 4.023 4.023 5.870
angles (deg): 90.00 90.00 90.00
Fractional positions:
Mg 0.000 0.000 0.921
Mg 0.500 0.500 0.334
Te 0.500 0.500 0.838
Si 0.000 0.000 0.406

=====

Which is the most stable structure? (2) is the most stable.

=====

(1)
Mg2SiTe: optimized geometry, PBE-GGA.

Space group ... F-43m

a b c (Å): 5.004 5.004 5.004
angles (deg): 60.00 60.00 60.00
Fractional positions:
Te 0.750 0.750 0.750
Si 0.500 0.500 0.500
Mg 0.000 0.000 0.000
Mg 0.250 0.250 0.250

=====

(2)
Mg2SiTe: optimized geometry, PBE-GGA.

Space group ... P2/m

a b c (Å): 3.783 3.711 7.040
angles (deg): 62.73 90.00 90.00
Fractional positions:
Te 0.500 0.750 0.750
Mg 0.000 0.995 0.019
Si 0.500 0.250 0.250
Mg 0.000 0.505 0.481

=====

Which is the most stable structure? (2) is the most stable.